Entry 1:
# Co3TcRh

A relaxed Co3TcRh crystal (GGA-PBE, the Alexandria database).

It has space group Pm-3m (No. 221), with a = 4.464 Å, b = 4.464 Å, c = 4.464 Å, α = 90.00°, β = 90.00° and γ = 90.00°. The distinct sites, in fractional coordinates, are Co at (0.000, 0.000, 0.500), Tc at (0.500, 0.500, 0.500) and Rh at (0.000, 0.000, 0.000).

For the formation energy from the elements, the calculation gives 1.62 eV/atom. The calculation puts the energy above the most stable polymorph in this dataset at 0.089 eV/atom. Its volume is 89.0 Å³/cell. The magnetic moment is 2.073 μB per atom. The density of states at the Fermi level comes out at 0.950 states/eV per atom.



Entry 2:
# Co2Tc2Rh

A relaxed Co2Tc2Rh crystal (GGA-PBE, the Alexandria database).

It has space group P4/mbm (No. 127), with a = 6.946 Å, b = 6.946 Å, c = 2.697 Å, α = 90.00°, β = 90.00° and γ = 90.00°. The distinct sites, in fractional coordinates, are Co at (0.122, 0.378, 0.000), Tc at (0.174, 0.674, 0.500) and Rh at (0.000, 0.000, 0.000).

For the formation energy from the elements, the calculation gives 0.10 eV/atom. Its volume is 130.1 Å³/cell. The magnetic moment is 0.210 μB per atom. The density of states at the Fermi level comes out at 0.773 states/eV per atom.



Entry 3:
# CoTcRh

A relaxed CoTcRh crystal (GGA-PBE, the Alexandria database).

It has space group Imm2 (No. 44), with a = 2.662 Å, b = 3.713 Å, c = 7.948 Å, α = 90.00°, β = 90.00° and γ = 90.00°. The distinct sites, in fractional coordinates, are Co at (0.000, 0.000, 0.000), Tc at (0.000, 0.000, 0.343) and Rh at (0.000, 0.000, 0.669).

For the formation energy from the elements, the calculation gives 0.00 eV/atom. The calculation puts the energy above the most stable polymorph in this dataset at 0.000 eV/atom. Its volume is 78.6 Å³/cell. The magnetic moment is 0.197 μB per atom. The density of states at the Fermi level comes out at 1.291 states/eV per atom.



Entry 4:
# CoTcRh4

A relaxed CoTcRh4 crystal (GGA-PBE, the Alexandria database).

It has space group Imma (No. 74), with a = 3.804 Å, b = 11.360 Å, c = 7.652 Å, α = 90.00°, β = 90.00° and γ = 90.00°. The distinct sites, in fractional coordinates, are Co at (0.000, 0.250, 0.131), Tc at (0.000, 0.250, 0.629), Rh at (0.000, 0.087, 0.877) and Rh at (0.000, 0.091, 0.375).

For the formation energy from the elements, the calculation gives -0.02 eV/atom. The calculation puts the energy above the most stable polymorph in this dataset at 0.000 eV/atom. Its volume is 330.6 Å³/cell. The magnetic moment is 0.370 μB per atom. The density of states at the Fermi level comes out at 1.339 states/eV per atom.



Entry 5:
# CoTcRh

A relaxed CoTcRh crystal (GGA-PBE, the Alexandria database).

It has space group P3m1 (No. 156), with a = 2.6792 Å, b = 2.6792 Å, c = 6.4357 Å, α = 90.00°, β = 90.00° and γ = 120.00°. The distinct sites, in fractional coordinates, are Co at (0.0000, 0.0000, 0.0000), Tc at (0.3333, 0.6667, 0.6821) and Rh at (0.6667, 0.3333, 0.3342).

For the formation energy from the elements, the calculation gives 0.07 eV/atom. The calculation puts the energy above the most stable polymorph in this dataset at 0.068 eV/atom. Its volume is 40.0 Å³/cell. The magnetic moment is 0.448 μB per atom. The density of states at the Fermi level comes out at 1.134 states/eV per atom.



Entry 6:
# CoTcRh4

A relaxed CoTcRh4 crystal (GGA-PBE, the Alexandria database).

It has space group F-43m (No. 216), with a = 7.101 Å, b = 7.101 Å, c = 7.101 Å, α = 90.00°, β = 90.00° and γ = 90.00°. The distinct sites, in fractional coordinates, are Co at (0.000, 0.000, 0.000), Tc at (0.250, 0.250, 0.250) and Rh at (0.125, 0.125, 0.625).

For the formation energy from the elements, the calculation gives 0.49 eV/atom. The calculation puts the energy above the most stable polymorph in this dataset at 0.501 eV/atom. Its volume is 358.0 Å³/cell. The magnetic moment is 0.216 μB per atom. The density of states at the Fermi level comes out at 1.251 states/eV per atom.



Entry 7:
# CoTcRh

A relaxed CoTcRh crystal (GGA-PBE, the Alexandria database).

It has space group P-6m2 (No. 187), with a = 4.1597 Å, b = 4.1597 Å, c = 2.6465 Å, α = 90.00°, β = 90.00° and γ = 120.00°. The distinct sites, in fractional coordinates, are Co at (0.0000, 0.0000, 0.0000), Tc at (0.6667, 0.3333, 0.0000) and Rh at (0.3333, 0.6667, 0.5000).

For the formation energy from the elements, the calculation gives 0.09 eV/atom. The calculation puts the energy above the most stable polymorph in this dataset at 0.094 eV/atom. Its volume is 39.7 Å³/cell. The magnetic moment is 0.004 μB per atom. The density of states at the Fermi level comes out at 1.192 states/eV per atom.



Entry 8:
# CoTcRh3

A relaxed CoTcRh3 crystal (GGA-PBE, the Alexandria database).

It has space group Pm-3m (No. 221), with a = 4.427 Å, b = 4.427 Å, c = 4.427 Å, α = 90.00°, β = 90.00° and γ = 90.00°. The distinct sites, in fractional coordinates, are Co at (0.000, 0.000, 0.000), Tc at (0.500, 0.500, 0.500) and Rh at (0.000, 0.000, 0.500).

For the formation energy from the elements, the calculation gives 1.28 eV/atom. The calculation puts the energy above the most stable polymorph in this dataset at 0.000 eV/atom. Its volume is 86.8 Å³/cell. The magnetic moment is 1.404 μB per atom. The density of states at the Fermi level comes out at 1.342 states/eV per atom.



Entry 9:
# CoTcRh

A relaxed CoTcRh crystal (GGA-PBE, the Alexandria database).

It has space group P-1 (No. 2), with a = 2.678 Å, b = 5.289 Å, c = 5.900 Å, α = 103.13°, β = 103.10° and γ = 90.15°. The distinct sites, in fractional coordinates, are Co at (0.176, 0.082, 0.350), Tc at (0.167, 0.593, 0.337) and Rh at (0.498, 0.756, 0.993).

For the formation energy from the elements, the calculation gives 0.03 eV/atom. The calculation puts the energy above the most stable polymorph in this dataset at 0.035 eV/atom. Its volume is 79.1 Å³/cell. The magnetic moment is 0.282 μB per atom. The density of states at the Fermi level comes out at 1.243 states/eV per atom.



Entry 10:
# CoTcRh4

A relaxed CoTcRh4 crystal (GGA-PBE, the Alexandria database).

It has space group Cmmm (No. 65), with a = 4.289 Å, b = 7.485 Å, c = 5.272 Å, α = 90.00°, β = 90.00° and γ = 90.00°. The distinct sites, in fractional coordinates, are Co at (0.000, 0.000, 0.000), Tc at (0.000, 0.000, 0.500) and Rh at (0.000, 0.334, 0.243).

For the formation energy from the elements, the calculation gives 0.25 eV/atom. The calculation puts the energy above the most stable polymorph in this dataset at 0.269 eV/atom. Its volume is 169.3 Å³/cell. The magnetic moment is 0.273 μB per atom. The density of states at the Fermi level comes out at 1.832 states/eV per atom.



Entry 11:
# CoTcRh

A relaxed CoTcRh crystal (GGA-PBE, the Alexandria database).

It has space group I4mm (No. 107), with a = 2.674 Å, b = 2.674 Å, c = 10.985 Å, α = 90.00°, β = 90.00° and γ = 90.00°. The distinct sites, in fractional coordinates, are Co at (0.000, 0.000, 0.000), Tc at (0.000, 0.000, 0.654) and Rh at (0.000, 0.000, 0.330).

For the formation energy from the elements, the calculation gives 0.02 eV/atom. The calculation puts the energy above the most stable polymorph in this dataset at 0.026 eV/atom. Its volume is 78.6 Å³/cell. The magnetic moment is 0.077 μB per atom. The density of states at the Fermi level comes out at 1.093 states/eV per atom.



Entry 12:
# CoTcRh

A relaxed CoTcRh crystal (GGA-PBE, the Alexandria database).

It has space group F-43m (No. 216), with a = 5.641 Å, b = 5.641 Å, c = 5.641 Å, α = 90.00°, β = 90.00° and γ = 90.00°. The distinct sites, in fractional coordinates, are Co at (0.000, 0.000, 0.000), Tc at (0.250, 0.250, 0.250) and Rh at (0.250, 0.250, 0.750).

For the formation energy from the elements, the calculation gives 0.56 eV/atom. The calculation puts the energy above the most stable polymorph in this dataset at 0.559 eV/atom. Its volume is 179.5 Å³/cell. The magnetic moment is 0.511 μB per atom. The density of states at the Fermi level comes out at 1.594 states/eV per atom.